Below is crystalline K4Mn3ClF12 at its relaxed geometry, with properties calculated at the PBE+U level.

Cell: 7.5419 7.5419 7.5419 Å, 109.47 109.47 109.47°
Site moments in Bohr magnetons follow the coordinates.
Atoms (fractional coordinates):
K (0.5000, 0.5000, 0.5000)  0.00
K (0.0000, 0.0000, 0.5000)  0.00
K (0.5000, 0.0000, 0.0000)  0.00
K (0.0000, 0.5000, 0.0000)  0.00
Mn (0.5000, 0.0000, 0.5000)  4.21
Mn (0.5000, 0.5000, 0.0000)  4.21
Mn (0.0000, 0.5000, 0.5000)  4.21
Cl (0.0000, 0.0000, 0.0000)  -0.66
F (0.2500, 0.5000, 0.7500)  0.01
F (0.7119, 0.0000, 0.7119)  -0.05
F (0.2881, 0.0000, 0.2881)  -0.05
F (0.7500, 0.5000, 0.2500)  0.01
F (0.7119, 0.7119, 0.0000)  -0.05
F (0.2881, 0.2881, 0.0000)  -0.05
F (0.7500, 0.2500, 0.5000)  0.01
F (0.2500, 0.7500, 0.5000)  0.01
F (0.5000, 0.2500, 0.7500)  0.01
F (0.0000, 0.7119, 0.7119)  -0.05
F (0.5000, 0.7500, 0.2500)  0.01
F (0.0000, 0.2881, 0.2881)  -0.05

## Properties
- Symmetry: No. 229
- V: 16.511 Å³ per atom
- Total moment: 0.60 μB per atom
- VASP energy: -99.80 eV for the cell shown

---

Below is crystalline NaLiV2O6 at its relaxed geometry, with properties calculated at the PBE+U level.

Cell: 5.8812 7.2695 7.2695 Å, 89.40 74.31 74.31°
Atoms (fractional coordinates):
Na (0.2500, 0.8953, 0.1047)
Na (0.7500, 0.1047, 0.8953)
Li (0.2500, 0.2134, 0.7866)
Li (0.7500, 0.7866, 0.2134)
V (0.2941, 0.7751, 0.6051)
V (0.2059, 0.3949, 0.2249)
V (0.7059, 0.2249, 0.3949)
V (0.7941, 0.6051, 0.7751)
O (0.1809, 0.9618, 0.7722)
O (0.3191, 0.2278, 0.0382)
O (0.8191, 0.0382, 0.2278)
O (0.6809, 0.7722, 0.9618)
O (0.4013, 0.8473, 0.3869)
O (0.0987, 0.6131, 0.1527)
O (0.5987, 0.1527, 0.6131)
O (0.9013, 0.3869, 0.8473)
O (0.0437, 0.6717, 0.6079)
O (0.4563, 0.3921, 0.3283)
O (0.9563, 0.3283, 0.3921)
O (0.5437, 0.6079, 0.6717)

## Properties
- Energy above the lowest structure with this stoichiometry: 0 meV per atom
- Symmetry: No. 15
- V: 14.370 Å³ per atom
- Total moment: 0.00 μB per atom